Below is an optimized crystal structure of LaPm2Dy5Ho, with properties calculated at the PBE level. Values from VASP.

Geometry as Quantum ESPRESSO input:
```
&SYSTEM
  ibrav = 0, nat = 18, ntyp = 4
/
ATOMIC_SPECIES
La 138.91 La.upf
Pm 145.00 Pm.upf
Dy 162.50 Dy.upf
Ho 164.93 Ho.upf
CELL_PARAMETERS angstrom
-4.389 4.389 7.742
4.389 -4.389 7.742
4.389 4.389 -7.742
ATOMIC_POSITIONS crystal
La 0.250 0.250 0.000
La 0.750 0.750 0.000
Pm 0.117 0.617 0.733
Pm 0.383 0.117 0.500
Pm 0.617 0.883 0.500
Pm 0.883 0.383 0.267
Dy 0.000 0.000 0.000
Dy 0.073 0.156 0.500
Dy 0.156 0.656 0.083
Dy 0.344 0.427 0.500
Dy 0.427 0.927 0.083
Dy 0.500 0.500 0.000
Dy 0.573 0.073 0.917
Dy 0.656 0.573 0.500
Dy 0.844 0.344 0.917
Dy 0.927 0.844 0.500
Ho 0.250 0.750 0.500
Ho 0.750 0.250 0.500
```

Values from the calculation:
Space group: I4/mcm, No. 140
Volume: 33.14 Å³ per atom
Formation enthalpy at 0 K: 0.2630 eV/atom
Raw total energy: -4.41 eV per atom